Entry 1:
VASP calculation (PBE) on a geometry-optimized Pm2SmPt structure.

## Properties
polymorph energy (0 for the lowest one): 0.772 eV per atom
DOS at the Fermi energy: 0.85 states/eV per atom
crystal system: trigonal
space-group type: R-3m, No. 166

```
4
Lattice="-0.824 0.685 3.310 0.754 -2.306 2.494 10.101 4.393 3.434" Properties=species:S:1:pos:R:3 pbc="T T T"
Pt 0.000 0.000 0.000
Pm 2.320 -0.456 6.157
Pm 7.711 3.228 3.080
Sm 5.016 1.386 4.619
```

Entry 2:
VASP calculation (PBE) on a geometry-optimized Pm3Sm3Pt2 structure.

## Properties
DOS at the Fermi energy: 1.25 states/eV per atom
crystal system: orthorhombic
space-group type: Cmcm, No. 63

```
16
Lattice="3.878 0.000 0.000 -1.939 6.753 0.000 0.000 0.000 18.741" Properties=species:S:1:pos:R:3 pbc="T T T"
Sm 1.939 2.302 1.075
Pm 1.939 2.861 4.685
Sm 1.939 2.302 8.295
Sm 0.000 5.920 4.685
Sm 1.939 0.833 14.056
Pm 1.939 5.991 1.670
Pt 1.939 2.822 16.207
Pm 0.000 0.762 17.071
Pm 0.000 3.891 14.056
Pt 0.000 3.930 2.534
Sm 0.000 4.450 10.446
Pm 1.939 5.991 7.700
Sm 0.000 4.450 17.666
Pt 1.939 2.822 11.904
Pm 0.000 0.762 11.041
Pt 0.000 3.930 6.837
```

Number 1: total DFT energy (no corrections) -19.75 eV/f.u., formation enthalpy at 0 K 0.128 eV/atom. Number 2: total DFT energy (no corrections) -44.81 eV/f.u., formation enthalpy at 0 K -0.540 eV/atom.